A geometry-optimized Y2AgPb structure. Source: Alexandria via LeMat-Bulk, functional PBEsol.

Unit cell a=3.7565 b=3.7565 c=9.1030 alpha=78.09 beta=78.09 gamma=60.00
Closest atoms and distances in Å follow each position.
Fractional coordinates of all 4 atoms:
Pb1 0.0000 0.0000 0.0000  6 Y 3.24
Y1 0.7573 0.7573 0.7280  3 Ag 2.96, 3 Pb 3.24
Y2 0.2427 0.2427 0.2720  3 Ag 2.96, 3 Pb 3.24
Ag1 0.5000 0.5000 0.5000  6 Y 2.96

Computed properties:
- ΔH_f (0 K): -0.9 eV/f.u.
- V: 27.01 Å³ per atom